(1)
Material: NaNdPd10
Method: DFT, PBE-GGA
State: relaxed

POSCAR file:
```
NaNdPd10
1.0
4.481 0.000 0.000
0.000 5.357 0.000
0.000 0.000 9.216
Na Nd Pd
1 1 10
direct
0.000 0.000 0.000
0.000 0.500 0.500
0.000 0.000 0.333
0.000 0.000 0.667
0.000 0.500 0.167
0.000 0.500 0.833
0.500 0.000 0.500
0.500 0.252 0.252
0.500 0.252 0.748
0.500 0.500 0.000
0.500 0.748 0.252
0.500 0.748 0.748
```

Output
final energy = -5.0917 eV/atom
ΔH_f (0 K) = -257 meV/atom

***

(2)
Material: NaNdPd2
Method: DFT, PBE-GGA
State: relaxed

POSCAR file:
```
NaNdPd2
1.0
0.000 3.507 3.507
3.507 0.000 3.507
3.507 3.507 0.000
Na Nd Pd
1 1 2
direct
0.000 0.000 0.000
0.500 0.500 0.500
0.250 0.250 0.250
0.750 0.750 0.750
```

Output
energy relative to the lowest polymorph listed for this composition = 0.0015 eV per atom
final energy = -4.5605 eV/atom
ΔH_f (0 K) = -442 meV/atom

***

(3)
Material: NaNdSbPd
Method: DFT, PBE-GGA
State: relaxed

POSCAR file:
```
NaNdSbPd
1.0
0.000 3.662 3.662
3.662 0.000 3.662
3.662 3.662 0.000
Na Nd Sb Pd
1 1 1 1
direct
0.000 0.000 0.000
0.500 0.500 0.500
0.250 0.250 0.250
0.750 0.750 0.750
```

Output
formation energy without anion corrections = -0.588 eV/atom
final energy = -4.4380 eV/atom

***

(4)
Material: NaNdSnPd
Method: DFT, PBE-GGA
State: relaxed

POSCAR file:
```
NaNdSnPd
1.0
0.000 3.527 3.527
3.527 0.000 3.527
3.527 3.527 0.000
Na Nd Sn Pd
1 1 1 1
direct
0.000 0.000 0.000
0.750 0.750 0.750
0.250 0.250 0.250
0.500 0.500 0.500
```

Output
final energy = -4.3927 eV/atom
ΔH_f (0 K) = -572 meV/atom

***

(5)
Material: NaNd2Sn3Pd4
Method: DFT, PBE-GGA
State: relaxed

POSCAR file:
```
NaNd2Sn3Pd4
1.0
4.519 0.000 0.000
0.000 4.519 0.000
0.000 0.000 11.114
Na Nd Sn Pd
1 2 3 4
direct
0.000 0.000 0.000
0.000 0.500 0.733
0.500 0.000 0.267
0.000 0.500 0.371
0.500 0.000 0.629
0.500 0.500 0.000
0.000 0.000 0.500
0.000 0.500 0.138
0.500 0.000 0.862
0.500 0.500 0.500
```

Output
final energy = -5.0285 eV/atom
ΔH_f (0 K) = -665 meV/atom

***

(6)
Material: NaNdZnPd
Method: DFT, PBE-GGA
State: relaxed

POSCAR file:
```
NaNdZnPd
1.0
0.000 3.552 3.552
3.552 0.000 3.552
3.552 3.552 0.000
Na Nd Zn Pd
1 1 1 1
direct
0.000 0.000 0.000
0.500 0.500 0.500
0.750 0.750 0.750
0.250 0.250 0.250
```

Output
final energy = -3.4033 eV/atom
ΔH_f (0 K) = -265 meV/atom

***

(7)
Material: NaPmNdRu
Method: DFT, PBE-GGA
State: relaxed

POSCAR file:
```
NaPmNdRu
1.0
0.000 3.660 3.660
3.660 0.000 3.660
3.660 3.660 0.000
Na Pm Nd Ru
1 1 1 1
direct
0.000 0.000 0.000
0.250 0.250 0.250
0.750 0.750 0.750
0.500 0.500 0.500
```

Output
final energy = -4.9651 eV/atom
ΔH_f (0 K) = 63 meV/atom

***

(8)
Material: NaPm2NdS4
Method: DFT, PBE-GGA
State: relaxed

POSCAR file:
```
NaPm2NdS4
1.0
7.023 0.000 0.000
0.000 4.037 0.000
-2.312 0.000 6.637
Na Pm Nd S
1 2 1 4
direct
0.000 0.000 0.000
0.000 0.500 0.500
0.500 0.000 0.500
0.500 0.500 0.000
0.247 0.000 0.749
0.252 0.500 0.254
0.748 0.500 0.746
0.753 0.000 0.251
```

Output
formation energy without anion corrections = -1.922 eV/atom
final energy = -5.9342 eV/atom